Entry 1:
## Mg3SbO (GGA-PBE)

Data for a relaxed Mg3SbO crystal.

Summary:
Raw formation energy = 0.486 eV/atom
Symmetry = No. 221

abc: 5.3386 5.3386 5.3386
angles: 90.00 90.00 90.00
Closest atoms and distances in Å follow each position.
Fractional coordinates of all 5 atoms:
Sb 0.0000 0.0000 0.0000  6 Mg 2.67
Mg 0.5000 0.0000 0.0000  2 Sb 2.67
Mg 0.0000 0.5000 0.0000  2 Sb 2.67
O 0.5000 0.5000 0.5000  12 Mg 3.77
Mg 0.0000 0.0000 0.5000  2 Sb 2.67


Entry 2:
## MgSb2O4 (GGA-PBE)

Data for a relaxed MgSb2O4 crystal.

Summary:
Raw formation energy = -1.607 eV/atom
Symmetry = No. 4

abc: 9.6246 7.1895 7.6335
angles: 79.07 90.00 90.00
Closest atoms and distances in Å follow each position.
Fractional coordinates of all 28 atoms:
O 0.3996 0.2546 0.5942  1 Sb 2.01, 1 Mg 2.01
Sb 0.5206 0.0762 0.8274  3 O 2.04-2.21
O 0.4061 0.8871 0.7193  1 Mg 1.99, 2 Sb 2.04-2.14
Mg 0.2577 0.0501 0.5896  4 O 1.94-2.02
O 0.3715 0.0905 0.0176  2 Sb 2.04-2.06, 1 Mg 2.20
Mg 0.7457 0.7136 0.8594  5 O 2.00-2.22
O 0.2565 0.0504 0.3354  2 Mg 1.94-2.04, 1 Sb 2.01
Sb 0.9117 0.0952 0.7515  3 O 2.01-2.05
Mg 0.2457 0.2864 0.1406  5 O 2.00-2.22
Sb 0.4117 0.9048 0.2485  3 O 2.01-2.05
Mg 0.7577 0.9499 0.4104  4 O 1.94-2.02
O 0.4183 0.4250 0.1956  1 Sb 1.93, 1 Mg 2.02
O 0.1029 0.4653 0.2027  1 Sb 1.91, 1 Mg 2.00
O 0.9061 0.1129 0.2807  1 Mg 1.99, 2 Sb 2.04-2.14
O 0.8715 0.9095 0.9824  2 Sb 2.04-2.06, 1 Mg 2.20
O 0.9183 0.5750 0.8044  1 Sb 1.93, 1 Mg 2.02
Sb 0.4361 0.6198 0.8937  3 O 1.91-2.14
O 0.5633 0.8005 0.0027  2 Sb 2.07-2.21, 1 Mg 2.22
O 0.6029 0.5347 0.7973  1 Sb 1.91, 1 Mg 2.00
O 0.0696 0.9399 0.6694  1 Mg 2.02, 2 Sb 2.05-2.13
O 0.0633 0.1995 0.9973  2 Sb 2.07-2.21, 1 Mg 2.22
O 0.7565 0.9496 0.6646  2 Mg 1.94-2.04, 1 Sb 2.01
Sb 0.0206 0.9238 0.1726  3 O 2.04-2.21
O 0.5696 0.0601 0.3306  1 Mg 2.02, 2 Sb 2.05-2.13
Sb 0.5380 0.3314 0.3964  3 O 1.93-2.13
Sb 0.0380 0.6686 0.6036  3 O 1.93-2.13
O 0.8996 0.7454 0.4058  1 Sb 2.01, 1 Mg 2.01
Sb 0.9361 0.3802 0.1063  3 O 1.91-2.14


Entry 3:
## Mg3SbO (GGA-PBE)

Data for a relaxed Mg3SbO crystal.

Summary:
Raw formation energy = -1.049 eV/atom
Symmetry = No. 221

abc: 4.4390 4.4390 4.4390
angles: 90.00 90.00 90.00
Closest atoms and distances in Å follow each position.
Fractional coordinates of all 5 atoms:
Mg 0.0000 0.0000 0.5000  2 O 2.22
Mg 0.0000 0.5000 0.0000  2 O 2.22
Sb 0.5000 0.5000 0.5000  12 Mg 3.14
Mg 0.5000 0.0000 0.0000  2 O 2.22
O 0.0000 0.0000 0.0000  6 Mg 2.22


| no. | size of the total moment (μB/atom) |
| --- | --- |
| 1 | 0.00 |
| 2 | 0.00 |
| 3 | 0.00 |